## ErAlCo (PBEsol)

Data for ErAlCo after structural relaxation.

Computed properties:
The formation energy from the elements is -0.409 eV per atom. As for the total moment: 0.004 μB per formula unit. The symmetry is Amm2 (38).

Cell: 8.242 5.235 5.235 Å, 60.67 90.00 90.00°
Element x y z (fractional)
Er 0.173 0.000 0.000
Er 0.297 0.337 0.337
Er 0.703 0.337 0.337
Er 0.827 0.000 0.000
Al 0.225 0.675 0.675
Al 0.500 0.332 0.836
Al 0.500 0.836 0.332
Al 0.775 0.675 0.675
Co 0.000 0.034 0.495
Co 0.000 0.495 0.034
Co 0.000 0.497 0.497
Co 0.500 0.837 0.837

=====

## Ta2InCo (PBEsol)

Data for Ta2InCo after structural relaxation.

Computed properties:
The formation energy from the elements is 0.060 eV per atom. As for the total moment: 0.002 μB per formula unit. The symmetry is Immm (71).

Cell: 5.225 5.225 5.225 Å, 142.87 130.78 63.23°
Element x y z (fractional)
Ta 0.232 0.232 0.000
Ta 0.768 0.768 0.000
In 0.500 0.000 0.500
Co 0.000 0.500 0.500

=====

## K2LaCl5 (PBEsol)

Data for K2LaCl5 after structural relaxation.

Computed properties:
As for the total moment: 0.000 μB per formula unit. The symmetry is Pnma (62). As for the formation energy (no corrections): -2.212 eV/atom.

Cell: 12.601 8.769 7.973 Å, 90.00 90.00 90.00°
Element x y z (fractional)
K 0.173 0.004 0.044
K 0.173 0.496 0.044
K 0.327 0.504 0.544
K 0.327 0.996 0.544
K 0.673 0.004 0.456
K 0.673 0.496 0.456
K 0.827 0.504 0.956
K 0.827 0.996 0.956
La 0.007 0.250 0.576
La 0.493 0.750 0.076
La 0.507 0.250 0.924
La 0.993 0.750 0.424
Cl 0.007 0.250 0.928
Cl 0.083 0.544 0.663
Cl 0.083 0.956 0.663
Cl 0.181 0.250 0.362
Cl 0.208 0.750 0.325
Cl 0.292 0.250 0.825
Cl 0.319 0.750 0.862
Cl 0.417 0.044 0.163
Cl 0.417 0.456 0.163
Cl 0.493 0.750 0.428
Cl 0.507 0.250 0.572
Cl 0.583 0.544 0.837
Cl 0.583 0.956 0.837
Cl 0.681 0.250 0.138
Cl 0.708 0.750 0.175
Cl 0.792 0.250 0.675
Cl 0.819 0.750 0.638
Cl 0.917 0.044 0.337
Cl 0.917 0.456 0.337
Cl 0.993 0.750 0.072

=====

## AgRhAu2 (PBEsol)

Data for AgRhAu2 after structural relaxation.

Computed properties:
The formation energy from the elements is 0.196 eV per atom. As for the total moment: 0.220 μB per formula unit. The symmetry is Immm (71).

Cell: 5.521 5.521 5.521 Å, 150.43 128.54 60.47°
Element x y z (fractional)
Ag 0.000 0.000 0.000
Rh 0.500 0.500 0.000
Au 0.255 0.755 0.500
Au 0.745 0.245 0.500

=====

## FeSb3Br (PBEsol)

Data for FeSb3Br after structural relaxation.

Computed properties:
As for the total moment: 2.684 μB per formula unit. The symmetry is Pm-3m (221). As for the formation energy (no corrections): 0.244 eV/atom.

Cell: 4.951 4.951 4.951 Å, 90.00 90.00 90.00°
Element x y z (fractional)
Fe 0.000 0.000 0.000
Sb 0.000 0.000 0.500
Sb 0.000 0.500 0.000
Sb 0.500 0.000 0.000
Br 0.500 0.500 0.500

=====

## LiGaMo2O8 (PBEsol)

Data for LiGaMo2O8 after structural relaxation.

Computed properties:
As for the total moment: 0.000 μB per formula unit. The symmetry is P-1 (2). As for the formation energy (no corrections): -2.006 eV/atom.

Cell: 6.715 7.105 7.164 Å, 90.60 105.68 110.34°
Element x y z (fractional)
Li 0.229 0.242 0.054
Li 0.771 0.758 0.946
Ga 0.398 0.819 0.598
Ga 0.602 0.181 0.402
Mo 0.181 0.272 0.541
Mo 0.336 0.792 0.077
Mo 0.664 0.208 0.923
Mo 0.819 0.728 0.459
O 0.092 0.832 0.982
O 0.113 0.860 0.544
O 0.233 0.533 0.553
O 0.259 0.536 0.070
O 0.292 0.230 0.780
O 0.318 0.232 0.372
O 0.412 0.883 0.342
O 0.479 0.855 0.879
O 0.521 0.145 0.121
O 0.588 0.117 0.658
O 0.682 0.768 0.628
O 0.708 0.770 0.220
O 0.741 0.464 0.930
O 0.767 0.467 0.447
O 0.887 0.140 0.456
O 0.908 0.168 0.018

=====

## MnCoSb (PBEsol)

Data for MnCoSb after structural relaxation.

Computed properties:
As for the total moment: 3.749 μB per formula unit. The symmetry is Fm-3m (225). As for the formation energy (no corrections): -0.082 eV/atom.

Cell: 8.045 8.045 8.045 Å, 60.00 60.00 60.00°
Element x y z (fractional)
Mn 0.000 0.000 0.000
Mn 0.000 0.000 0.500
Mn 0.000 0.500 0.000
Mn 0.000 0.500 0.500
Mn 0.500 0.000 0.000
Mn 0.500 0.000 0.500
Mn 0.500 0.500 0.000
Mn 0.500 0.500 0.500
Co 0.121 0.121 0.121
Co 0.121 0.121 0.638
Co 0.121 0.638 0.121
Co 0.362 0.879 0.879
Co 0.638 0.121 0.121
Co 0.879 0.362 0.879
Co 0.879 0.879 0.362
Co 0.879 0.879 0.879
Sb 0.250 0.250 0.250
Sb 0.269 0.269 0.731
Sb 0.269 0.731 0.269
Sb 0.269 0.731 0.731
Sb 0.731 0.269 0.269
Sb 0.731 0.269 0.731
Sb 0.731 0.731 0.269
Sb 0.750 0.750 0.750

=====

## SbMo2Pt (PBEsol)

Data for SbMo2Pt after structural relaxation.

Computed properties:
As for the total moment: 0.000 μB per formula unit. The symmetry is R-3m (166). As for the formation energy (no corrections): 0.286 eV/atom.

Cell: 9.047 9.047 9.047 Å, 18.65 18.65 18.65°
Element x y z (fractional)
Sb 0.000 0.000 0.000
Mo 0.248 0.248 0.248
Mo 0.752 0.752 0.752
Pt 0.500 0.500 0.500

=====

- Which value of total moment does entry 7 give?
  3.749 μB per formula unit